Pr3Ho6ErTm2 | PBE | relaxed

Computed properties:
volume	383.9	Å³/cell
E_form	0.02	eV per atom
space group	C2/m

Cell: 6.179 6.179 11.787 Å, 95.01 95.01 119.98°
Fractional coordinates of all 12 atoms:
Pr: 0.000 0.000 0.000
Pr: 0.333 0.667 0.000
Pr: 0.667 0.333 0.000
Ho: 0.085 0.419 0.256
Ho: 0.248 0.248 0.744
Ho: 0.419 0.085 0.256
Ho: 0.581 0.915 0.744
Ho: 0.752 0.752 0.256
Ho: 0.915 0.581 0.744
Er: 0.500 0.500 0.500
Tm: 0.167 0.833 0.500
Tm: 0.833 0.167 0.500